No. 1
Compound: TbTmPb4
Source: the Open Quantum Materials Database
Functional: PBE
Structure: relaxed

## Properties
VASP energy = -3.7585 eV per atom
Symmetry = No. 38

```
TbTmPb4
1.0
3.301 0.000 0.000
0.000 6.303 0.000
0.000 0.000 19.246
Tb Tm Pb
2 2 8
Cartesian
0.000 0.000 0.000 Tb
0.000 3.151 9.623 Tb
0.000 0.000 3.500 Tm
0.000 3.151 13.123 Tm
0.000 0.000 6.682 Pb
0.000 0.000 9.814 Pb
0.000 0.000 13.010 Pb
0.000 0.000 16.091 Pb
0.000 3.151 0.191 Pb
0.000 3.151 3.387 Pb
0.000 3.151 6.468 Pb
0.000 3.151 16.305 Pb
```

---

No. 2
Compound: TbUPb
Source: the Open Quantum Materials Database
Functional: PBE
Structure: relaxed

## Properties
Energy relative to the lowest polymorph listed for this composition = 0.000 eV per atom
VASP energy = -6.0213 eV per atom
Symmetry = No. 216

```
TbUPb
1.0
7.411 0.000 0.000
0.000 7.411 0.000
0.000 0.000 7.411
Tb U Pb
4 4 4
Cartesian
0.000 0.000 0.000 Tb
0.000 3.706 3.706 Tb
3.706 0.000 3.706 Tb
3.706 3.706 0.000 Tb
0.000 0.000 3.706 U
0.000 3.706 0.000 U
3.706 0.000 0.000 U
3.706 3.706 3.706 U
1.853 1.853 1.853 Pb
1.853 5.558 5.558 Pb
5.558 1.853 5.558 Pb
5.558 5.558 1.853 Pb
```

---

No. 3
Compound: TbPbW
Source: the Open Quantum Materials Database
Functional: PBE
Structure: relaxed

## Properties
VASP energy = -6.1575 eV per atom
Symmetry = No. 216

```
TbPbW
1.0
6.807 0.000 0.000
0.000 6.807 0.000
0.000 0.000 6.807
Tb Pb W
4 4 4
Cartesian
0.000 0.000 0.000 Tb
0.000 3.403 3.403 Tb
3.403 0.000 3.403 Tb
3.403 3.403 0.000 Tb
1.702 1.702 1.702 Pb
1.702 5.105 5.105 Pb
5.105 1.702 5.105 Pb
5.105 5.105 1.702 Pb
0.000 0.000 3.403 W
0.000 3.403 0.000 W
3.403 0.000 0.000 W
3.403 3.403 3.403 W
```

---

No. 4
Compound: TbY2Pb7
Source: the Open Quantum Materials Database
Functional: PBE
Structure: relaxed

## Properties
VASP energy = -4.7076 eV per atom
Symmetry = No. 65

```
TbY2Pb7
1.0
2.351 -12.957 0.000
2.351 12.957 0.000
0.000 0.000 4.703
Tb Y Pb
1 2 7
Cartesian
0.000 0.000 0.000 Tb
2.351 8.036 0.000 Y
2.351 -8.036 0.000 Y
2.351 10.413 2.351 Pb
2.351 5.346 2.351 Pb
2.351 2.518 0.000 Pb
2.351 0.000 2.351 Pb
2.351 -2.518 0.000 Pb
2.351 -5.346 2.351 Pb
2.351 -10.413 2.351 Pb
```

---

No. 5
Compound: TbYZn2Pb2
Source: the Open Quantum Materials Database
Functional: PBE
Structure: relaxed

## Properties
Energy relative to the lowest polymorph listed for this composition = 0.003 eV per atom
VASP energy = -3.9254 eV per atom
Symmetry = No. 194

```
TbYZn2Pb2
1.0
4.596 0.000 0.000
-2.298 3.980 0.000
0.000 0.000 16.064
Tb Y Zn Pb
2 2 4 4
Cartesian
0.000 0.000 0.000 Tb
0.000 0.000 8.032 Tb
0.000 0.000 4.016 Y
0.000 0.000 12.048 Y
0.000 2.653 2.652 Zn
0.000 2.653 5.380 Zn
2.298 1.327 10.684 Zn
2.298 1.327 13.413 Zn
0.000 2.653 9.801 Pb
0.000 2.653 14.295 Pb
2.298 1.327 1.769 Pb
2.298 1.327 6.263 Pb
```

---

No. 6
Compound: TbYZn2Pb2
Source: the Open Quantum Materials Database
Functional: PBE
Structure: relaxed

## Properties
Energy relative to the lowest polymorph listed for this composition = 0.000 eV per atom
VASP energy = -3.9284 eV per atom
Symmetry = No. 194

```
TbYZn2Pb2
1.0
4.595 0.000 0.000
-2.298 3.979 0.000
0.000 0.000 16.067
Tb Y Zn Pb
2 2 4 4
Cartesian
0.000 0.000 4.017 Tb
0.000 0.000 12.050 Tb
0.000 0.000 0.000 Y
0.000 0.000 8.034 Y
0.000 2.653 2.653 Zn
0.000 2.653 5.380 Zn
2.298 1.326 10.687 Zn
2.298 1.326 13.414 Zn
0.000 2.653 9.804 Pb
0.000 2.653 14.297 Pb
2.298 1.326 1.770 Pb
2.298 1.326 6.263 Pb
```

---

No. 7
Compound: TcPb
Source: the Open Quantum Materials Database
Functional: PBE
Structure: relaxed

## Properties
Energy relative to the lowest polymorph listed for this composition = 0.394 eV per atom
VASP energy = -5.9001 eV per atom
Symmetry = No. 225

```
TcPb
1.0
5.627 0.000 0.000
0.000 5.627 0.000
0.000 0.000 5.627
Tc Pb
4 4
Cartesian
0.000 0.000 0.000 Tc
0.000 2.813 2.813 Tc
2.813 0.000 2.813 Tc
2.813 2.813 0.000 Tc
0.000 0.000 2.813 Pb
0.000 2.813 0.000 Pb
2.813 0.000 0.000 Pb
2.813 2.813 2.813 Pb
```

---

No. 8
Compound: ThTcPb
Source: the Open Quantum Materials Database
Functional: PBE
Structure: relaxed

## Properties
VASP energy = -6.4360 eV per atom
Symmetry = No. 216

```
ThTcPb
1.0
6.965 0.000 0.000
0.000 6.965 0.000
0.000 0.000 6.965
Th Tc Pb
4 4 4
Cartesian
0.000 0.000 0.000 Th
0.000 3.483 3.483 Th
3.483 0.000 3.483 Th
3.483 3.483 0.000 Th
0.000 0.000 3.483 Tc
0.000 3.483 0.000 Tc
3.483 0.000 0.000 Tc
3.483 3.483 3.483 Tc
1.741 1.741 5.224 Pb
1.741 5.224 1.741 Pb
5.224 1.741 1.741 Pb
5.224 5.224 5.224 Pb
```

---

No. 9
Compound: UTcPb
Source: the Open Quantum Materials Database
Functional: PBE
Structure: relaxed

## Properties
Energy relative to the lowest polymorph listed for this composition = 0.000 eV per atom
VASP energy = -7.2603 eV per atom
Symmetry = No. 216

```
UTcPb
1.0
6.798 0.000 0.000
0.000 6.798 0.000
0.000 0.000 6.798
U Tc Pb
4 4 4
Cartesian
0.000 0.000 0.000 U
0.000 3.399 3.399 U
3.399 0.000 3.399 U
3.399 3.399 0.000 U
1.699 1.699 1.699 Tc
1.699 5.098 5.098 Tc
5.098 1.699 5.098 Tc
5.098 5.098 1.699 Tc
1.699 1.699 5.098 Pb
1.699 5.098 1.699 Pb
5.098 1.699 1.699 Pb
5.098 5.098 5.098 Pb
```

---

No. 10
Compound: UTcPb
Source: the Open Quantum Materials Database
Functional: PBE
Structure: relaxed

## Properties
Energy relative to the lowest polymorph listed for this composition = 0.082 eV per atom
VASP energy = -7.1782 eV per atom
Symmetry = No. 216

```
UTcPb
1.0
6.709 0.000 0.000
0.000 6.709 0.000
0.000 0.000 6.709
U Tc Pb
4 4 4
Cartesian
0.000 0.000 0.000 U
0.000 3.355 3.355 U
3.355 0.000 3.355 U
3.355 3.355 0.000 U
0.000 0.000 3.355 Tc
0.000 3.355 0.000 Tc
3.355 0.000 0.000 Tc
3.355 3.355 3.355 Tc
1.677 1.677 5.032 Pb
1.677 5.032 1.677 Pb
5.032 1.677 1.677 Pb
5.032 5.032 5.032 Pb
```

---

No. 11
Compound: TcPb2W
Source: the Open Quantum Materials Database
Functional: PBE
Structure: relaxed

## Properties
VASP energy = -6.6368 eV per atom
Symmetry = No. 216

```
TcPb2W
1.0
6.870 0.000 0.000
0.000 6.870 0.000
0.000 0.000 6.870
Tc Pb W
4 8 4
Cartesian
0.000 0.000 0.000 Tc
0.000 3.435 3.435 Tc
3.435 0.000 3.435 Tc
3.435 3.435 0.000 Tc
0.000 0.000 3.435 Pb
0.000 3.435 0.000 Pb
1.718 1.718 5.153 Pb
1.718 5.153 1.718 Pb
3.435 0.000 0.000 Pb
3.435 3.435 3.435 Pb
5.153 1.718 1.718 Pb
5.153 5.153 5.153 Pb
1.718 1.718 1.718 W
1.718 5.153 5.153 W
5.153 1.718 5.153 W
5.153 5.153 1.718 W
```

---

No. 12
Compound: YTcPb2
Source: the Open Quantum Materials Database
Functional: PBE
Structure: relaxed

## Properties
VASP energy = -5.7032 eV per atom
Symmetry = No. 216

```
YTcPb2
1.0
7.262 0.000 0.000
0.000 7.262 0.000
0.000 0.000 7.262
Y Tc Pb
4 4 8
Cartesian
0.000 0.000 0.000 Y
0.000 3.631 3.631 Y
3.631 0.000 3.631 Y
3.631 3.631 0.000 Y
1.816 1.816 5.447 Tc
1.816 5.447 1.816 Tc
5.447 1.816 1.816 Tc
5.447 5.447 5.447 Tc
0.000 0.000 3.631 Pb
0.000 3.631 0.000 Pb
1.816 1.816 1.816 Pb
1.816 5.447 5.447 Pb
3.631 0.000 0.000 Pb
3.631 3.631 3.631 Pb
5.447 1.816 5.447 Pb
5.447 5.447 1.816 Pb
```

---

no.,total moment (μB/f.u.),volume (Å³ per atom)
1,0.0,33.37
2,4.3,33.92
3,0.5,26.28
4,0.0,28.66
5,0.0,24.48
6,0.0,24.48
7,1.9,22.27
8,1.4,28.16
9,1.1,26.18
10,1.0,25.17
11,0.0,20.27
12,0.9,23.94